DFT (GGA+U) results for an optimized crystal structure of MgVO2.

```
MgVO2
1.0
-1.018 -4.918 6.681
1.674 -3.741 7.284
-3.289 1.772 11.221
Mg V O
4 4 8
direct
0.337 0.337 0.740
0.663 0.663 0.260
0.082 0.082 0.600
0.918 0.918 0.400
0.403 0.403 0.915
0.820 0.820 0.273
0.180 0.180 0.727
0.597 0.597 0.085
0.839 0.839 0.078
0.818 0.818 0.631
0.599 0.599 0.698
0.161 0.161 0.922
0.182 0.182 0.369
0.401 0.401 0.302
0.088 0.088 0.237
0.912 0.912 0.763
```

Values from the calculation:
Energy: -6.641 eV/atom
Volume: 50.9 Å³/f.u.
Space-group type: C2/m (12)

DFT (GGA+U) results for an optimized crystal structure of Mg3VO.

```
Mg3VO
1.0
-1.109 2.224 3.565
-4.146 0.020 -1.302
-0.683 -3.734 2.116
Mg O V
3 1 1
direct
0.000 0.500 0.000
0.000 0.000 0.500
0.500 0.000 0.000
0.000 0.000 0.000
0.500 0.500 0.500
```

Values from the calculation:
Polymorph energy (0 for the lowest one): 0 meV per atom
Energy: -3.935 eV/atom
Volume: 82.1 Å³/f.u.
Space-group type: Pm-3m (221)